Record 1
# Li8Mg6Al PBE optimized geometry
data_Li8Mg6Al
_chemical_formula_sum 'Li8 Mg6 Al1'
_symmetry_space_group_name_H-M 'P 1'
_symmetry_Int_Tables_number 1
_symmetry_space_group_name_Hall 'P 1'
_cell_length_a 8.1999
_cell_length_b 8.1999
_cell_length_c 7.0111
_cell_angle_alpha 54.21
_cell_angle_beta 54.21
_cell_angle_gamma 60.00
loop_
_atom_site_label
_atom_site_fract_x
_atom_site_fract_y
_atom_site_fract_z
Li1 0.7680 0.7680 0.6960
Li2 0.6265 0.1320 0.2884
Li3 0.2320 0.2320 0.3040
Mg1 0.3724 0.5768 0.2250
Mg2 0.4232 0.1742 0.7750
Mg3 0.8258 0.3724 0.2250
Al1 0.0000 0.0000 0.0000
Mg4 0.1742 0.6276 0.7750
Mg5 0.5768 0.8258 0.2250
Mg6 0.6276 0.4232 0.7750
Li4 0.8680 0.0469 0.7116
Li5 0.9531 0.6265 0.2884
Li6 0.0469 0.3735 0.7116
Li7 0.3735 0.8680 0.7116
Li8 0.1320 0.9531 0.2884
# formation energy = 0.016 eV per atom
# total energy = -1.8925 eV per atom
# size of the total moment = 0.0 μB per formula unit

Record 2
# Li2Mg6Al PBE optimized geometry
data_Li2Mg6Al
_chemical_formula_sum 'Li2 Mg6 Al1'
_symmetry_space_group_name_H-M 'P 1'
_symmetry_Int_Tables_number 1
_symmetry_space_group_name_Hall 'P 1'
_cell_length_a 3.1584
_cell_length_b 3.1584
_cell_length_c 22.5140
_cell_angle_alpha 90.00
_cell_angle_beta 90.00
_cell_angle_gamma 120.00
loop_
_atom_site_label
_atom_site_fract_x
_atom_site_fract_y
_atom_site_fract_z
Mg1 0.6667 0.3333 0.1028
Mg2 0.6667 0.3333 0.8972
Mg3 0.3333 0.6667 0.7823
Mg4 0.3333 0.6667 0.4326
Mg5 0.3333 0.6667 0.5674
Li1 0.6667 0.3333 0.6750
Al1 0.3333 0.6667 0.0000
Mg6 0.3333 0.6667 0.2177
Li2 0.6667 0.3333 0.3250
# formation energy = 0.012 eV per atom
# total energy = -1.8919 eV per atom
# polymorph energy (0 for the lowest one) = 46 meV per atom
# size of the total moment = 0.0 μB per formula unit

Record 3
# Li2MgAl PBE optimized geometry
data_Li2MgAl
_chemical_formula_sum 'Li2 Mg1 Al1'
_symmetry_space_group_name_H-M 'P 1'
_symmetry_Int_Tables_number 1
_symmetry_space_group_name_Hall 'P 1'
_cell_length_a 3.4307
_cell_length_b 4.5948
_cell_length_c 4.6617
_cell_angle_alpha 90.00
_cell_angle_beta 90.00
_cell_angle_gamma 90.00
loop_
_atom_site_label
_atom_site_fract_x
_atom_site_fract_y
_atom_site_fract_z
Al1 0.0000 0.5000 0.5000
Mg1 0.5000 0.0000 0.5000
Li1 0.5000 0.5000 0.0000
Li2 0.0000 0.0000 0.0000
# formation energy = -0.060 eV per atom
# total energy = -2.3509 eV per atom
# size of the total moment = 0.0 μB per formula unit

Record 4
# LiMg2Al9 PBE optimized geometry
data_LiMg2Al9
_chemical_formula_sum 'Li1 Mg2 Al9'
_symmetry_space_group_name_H-M 'P 1'
_symmetry_Int_Tables_number 1
_symmetry_space_group_name_Hall 'P 1'
_cell_length_a 4.1210
_cell_length_b 4.1210
_cell_length_c 12.1795
_cell_angle_alpha 90.00
_cell_angle_beta 90.00
_cell_angle_gamma 90.00
loop_
_atom_site_label
_atom_site_fract_x
_atom_site_fract_y
_atom_site_fract_z
Mg1 0.0000 0.0000 0.6701
Al1 0.0000 0.5000 0.1604
Mg2 0.0000 0.0000 0.3299
Li1 0.0000 0.0000 0.0000
Al2 0.5000 0.5000 0.6694
Al3 0.0000 0.5000 0.5000
Al4 0.0000 0.5000 0.8396
Al5 0.5000 0.5000 0.3306
Al6 0.5000 0.0000 0.5000
Al7 0.5000 0.0000 0.1604
Al8 0.5000 0.5000 0.0000
Al9 0.5000 0.0000 0.8396
# formation energy = -0.026 eV per atom
# total energy = -3.2579 eV per atom
# size of the total moment = 0.0 μB per formula unit

Record 5
# Li6Mg8Al PBE optimized geometry
data_Li6Mg8Al
_chemical_formula_sum 'Li6 Mg8 Al1'
_symmetry_space_group_name_H-M 'P 1'
_symmetry_Int_Tables_number 1
_symmetry_space_group_name_Hall 'P 1'
_cell_length_a 7.7858
_cell_length_b 7.7858
_cell_length_c 7.5327
_cell_angle_alpha 58.88
_cell_angle_beta 58.88
_cell_angle_gamma 60.00
loop_
_atom_site_label
_atom_site_fract_x
_atom_site_fract_y
_atom_site_fract_z
Mg1 0.5830 0.5830 0.2511
Mg2 0.8189 0.6652 0.3951
Mg3 0.1811 0.3348 0.6049
Li1 0.0592 0.2693 0.1166
Li2 0.4451 0.9408 0.8834
Li3 0.5549 0.0592 0.1166
Mg4 0.8792 0.1811 0.6049
Li4 0.7307 0.4451 0.8834
Li5 0.2693 0.5549 0.1166
Mg5 0.3348 0.8792 0.6049
Mg6 0.1208 0.8189 0.3951
Al1 0.0000 0.0000 0.0000
Li6 0.9408 0.7307 0.8834
Mg7 0.4170 0.4170 0.7489
Mg8 0.6652 0.1208 0.3951
# formation energy = -0.023 eV per atom
# total energy = -1.8880 eV per atom
# polymorph energy (0 for the lowest one) = 0 meV per atom
# size of the total moment = 0.0 μB per formula unit

Record 6
# Li6MgAl2 PBE optimized geometry
data_Li6MgAl2
_chemical_formula_sum 'Li6 Mg1 Al2'
_symmetry_space_group_name_H-M 'P 1'
_symmetry_Int_Tables_number 1
_symmetry_space_group_name_Hall 'P 1'
_cell_length_a 5.3938
_cell_length_b 5.3957
_cell_length_c 5.3957
_cell_angle_alpha 95.78
_cell_angle_beta 84.14
_cell_angle_gamma 84.14
loop_
_atom_site_label
_atom_site_fract_x
_atom_site_fract_y
_atom_site_fract_z
Al1 0.6622 0.3384 0.3384
Li1 0.8290 0.8293 0.5002
Li2 0.5000 0.8288 0.1712
Li3 0.1710 0.4998 0.1707
Mg1 0.0000 0.0000 0.0000
Li4 0.5000 0.1712 0.8288
Al2 0.3378 0.6616 0.6616
Li5 0.1710 0.1707 0.4998
Li6 0.8290 0.5002 0.8293
# formation energy = -0.110 eV per atom
# total energy = -2.3949 eV per atom
# polymorph energy (0 for the lowest one) = 0 meV per atom
# size of the total moment = 0.0 μB per formula unit

Record 7
# LiMgAl2 PBE optimized geometry
data_LiMgAl2
_chemical_formula_sum 'Li1 Mg1 Al2'
_symmetry_space_group_name_H-M 'P 1'
_symmetry_Int_Tables_number 1
_symmetry_space_group_name_Hall 'P 1'
_cell_length_a 3.5443
_cell_length_b 3.5443
_cell_length_c 5.8282
_cell_angle_alpha 90.00
_cell_angle_beta 90.00
_cell_angle_gamma 90.00
loop_
_atom_site_label
_atom_site_fract_x
_atom_site_fract_y
_atom_site_fract_z
Mg1 0.5000 0.5000 0.7487
Al1 0.0000 0.0000 0.0170
Al2 0.5000 0.5000 0.2452
Li1 0.0000 0.0000 0.4891
# formation energy = -0.006 eV per atom
# total energy = -2.7543 eV per atom
# size of the total moment = 0.0 μB per formula unit

Record 8
# Li2Mg8Al PBE optimized geometry
data_Li2Mg8Al
_chemical_formula_sum 'Li2 Mg8 Al1'
_symmetry_space_group_name_H-M 'P 1'
_symmetry_Int_Tables_number 1
_symmetry_space_group_name_Hall 'P 1'
_cell_length_a 4.6212
_cell_length_b 6.3999
_cell_length_c 8.3345
_cell_angle_alpha 98.37
_cell_angle_beta 106.10
_cell_angle_gamma 90.00
loop_
_atom_site_label
_atom_site_fract_x
_atom_site_fract_y
_atom_site_fract_z
Mg1 0.4083 0.5640 0.8166
Mg2 0.6782 0.9184 0.3564
Mg3 0.7797 0.3729 0.5594
Al1 0.5000 0.0000 0.0000
Mg4 0.5917 0.4360 0.1834
Mg5 0.3218 0.0816 0.6436
Li1 0.1355 0.1709 0.2711
Mg6 0.9603 0.2595 0.9206
Mg7 0.0397 0.7405 0.0794
Mg8 0.2203 0.6271 0.4406
Li2 0.8645 0.8291 0.7289
# formation energy = -0.022 eV per atom
# total energy = -1.8703 eV per atom
# polymorph energy (0 for the lowest one) = 0 meV per atom
# size of the total moment = 0.0 μB per formula unit